VASP calculation (PBE-GGA) on TlSnMo4N2 after structural relaxation.

The total energy comes out at -0.60477 Ry/atom.

POSCAR file:
```
TlSnMo4N2
1.0
3.2526 0.0000 0.0000
-1.6263 2.8168 0.0000
0.0000 0.0000 13.2736
Mo Sn N Tl
4 1 2 1
Direct
0.3333 0.6667 0.6703
0.3333 0.6667 0.3297
0.0000 0.0000 0.1792
0.0000 0.0000 0.8208
0.0000 0.0000 0.5000
0.6667 0.3333 0.2525
0.6667 0.3333 0.7475
0.3333 0.6667 0.0000
```